Entry 1:
# Nd2Sm2BrN2Cl4 PBE-GGA optimized geometry
# Raw total energy in eV/atom: -5.718
data_Nd2Sm2BrN2Cl4
_symmetry_space_group_name_H-M 'C 1 2/m 1'
_symmetry_Int_Tables_number 12
_cell_length_a 18.2803
_cell_length_b 3.6447
_cell_length_c 8.2294
_cell_angle_alpha 90.00
_cell_angle_beta 106.04
_cell_angle_gamma 90.00
loop_
_symmetry_equiv_pos_as_xyz
'x,y,z'
'-x,-y,-z'
'-x,y,-z'
'x,-y,z'
'x+1/2,y+1/2,z'
'-x+1/2,-y+1/2,-z'
'-x+1/2,y+1/2,-z'
'x+1/2,-y+1/2,z'
loop_
_atom_site_label
_atom_site_type_symbol
_atom_site_fract_x
_atom_site_fract_y
_atom_site_fract_z
Nd1 Nd 0.0000 0.0000 0.1989
Sm1 Sm 0.1674 0.5000 0.1084
Br1 Br 0.0000 0.5000 0.5000
N1 N 0.0394 0.5000 0.0248
Cl1 Cl 0.1608 0.0000 0.3670
Cl2 Cl 0.1687 0.0000 0.8347


Entry 2:
# CsPuMgTe3 PBE-GGA optimized geometry
# Raw total energy in eV/atom: -5.407
data_CsPuMgTe3
_symmetry_space_group_name_H-M 'C m c m'
_symmetry_Int_Tables_number 63
_symmetry_space_group_name_Hall '-C 2c 2'
_cell_length_a 4.6100
_cell_length_b 17.1242
_cell_length_c 11.9843
_cell_angle_alpha 90.00
_cell_angle_beta 90.00
_cell_angle_gamma 90.00
loop_
_atom_site_label
_atom_site_type_symbol
_atom_site_fract_x
_atom_site_fract_y
_atom_site_fract_z
Cs1 Cs 0.0000 0.2458 0.2500
Pu1 Pu 0.0000 0.5000 0.0000
Mg1 Mg 0.0000 0.0340 0.7500
Te1 Te 0.0000 0.1199 0.5531
Te2 Te 0.0000 0.4379 0.7500


Entry 3:
# GdDyPO PBE-GGA optimized geometry
# Relative energy among the computed polymorphs in meV/atom: 134.1
data_GdDyPO
_symmetry_space_group_name_H-M 'P 4/n m m'
_symmetry_Int_Tables_number 129
_cell_length_a 4.3074
_cell_length_b 4.3074
_cell_length_c 8.6486
_cell_angle_alpha 90.00
_cell_angle_beta 90.00
_cell_angle_gamma 90.00
loop_
_symmetry_equiv_pos_as_xyz
'x,y,z'
'-x,-y,-z'
'-y+1/2,x,z'
'y+1/2,-x,-z'
'-x+1/2,-y+1/2,z'
'x+1/2,y+1/2,-z'
'y,-x+1/2,z'
'-y,x+1/2,-z'
'x+1/2,-y,-z'
'-x+1/2,y,z'
'-y,-x,-z'
'y,x,z'
'-x,y+1/2,-z'
'x,-y+1/2,z'
'y+1/2,x+1/2,-z'
'-y+1/2,-x+1/2,z'
loop_
_atom_site_label
_atom_site_type_symbol
_atom_site_fract_x
_atom_site_fract_y
_atom_site_fract_z
Gd1 Gd 0.2500 0.7500 0.0000
Dy1 Dy 0.2500 0.2500 0.3993
P1 P 0.2500 0.2500 0.7995
O1 O 0.2500 0.7500 0.5000


Entry 4:
# HoAsPbO PBE-GGA optimized geometry
# Relative energy among the computed polymorphs in meV/atom: 19.4
data_HoAsPbO
_symmetry_space_group_name_H-M 'C m m e'
_symmetry_Int_Tables_number 67
_symmetry_space_group_name_Hall '-C 2a 2'
_cell_length_a 6.0267
_cell_length_b 6.0381
_cell_length_c 9.6099
_cell_angle_alpha 90.00
_cell_angle_beta 90.00
_cell_angle_gamma 90.00
loop_
_atom_site_label
_atom_site_type_symbol
_atom_site_fract_x
_atom_site_fract_y
_atom_site_fract_z
Ho1 Ho 0.0000 0.2500 0.0920
As1 As 0.0000 0.2500 0.7351
Pb1 Pb 0.2500 0.0000 0.5000
O1 O 0.2500 0.0000 0.0000